A relaxed structure of GaHgS3. Source: Alexandria, functional PBE.

Geometry as POSCAR:
```
GaHgS3
1.0
6.5735 -1.7499 0.0000
6.5735 1.7499 0.0000
-2.6002 0.0000 5.2809
Ga Hg S
1 1 3
direct
0.0000 0.0000 0.0000
0.3232 0.3232 0.3149
0.1488 0.1488 0.8995
0.5109 0.5109 0.2632
0.8275 0.8275 0.6467
```

raw formation energy	-0.182	eV/atom
V	121.5	Å³ per cell
space-group type	Cm
VASP energy	-3.324	eV per atom
crystal system	monoclinic